Density functional theory data (PBE-GGA) for a relaxed Ac2CdH crystal.

```
Ac2CdH
1.0
3.7545 0.0000 0.0000
0.0000 3.7545 0.0000
0.0000 0.0000 8.0000
Ac Cd H
2 1 1
Direct
0.0000 0.0000 0.2283 Ac
0.0000 0.0000 0.7717 Ac
0.5000 0.5000 0.5000 Cd
0.5000 0.5000 0.0000 H
```

Energy above the most stable polymorph in this dataset: 198 meV/atom